[1]
Hf5Ta2Ge4, relaxed, DFT PBE; crystal system = monoclinic; DFT formation energy = -30 meV/atom; uncorrected energy = -92.28 eV for the cell shown
1.0
3.5659 0.0000 0.0000
0.0000 9.3645 -2.2168
-1.7830 -9.4116 9.1102
Hf Ta Ge
5 2 4
direct
0.1643 0.9171 0.3286 Hf
0.8357 0.0829 0.6714 Hf
0.1882 0.5793 0.3764 Hf
0.5000 0.0000 0.0000 Hf
0.8118 0.4207 0.6236 Hf
0.8200 0.7251 0.6400 Ta
0.1800 0.2749 0.3600 Ta
0.6235 0.6209 0.2470 Ge
0.0058 0.7478 0.0116 Ge
0.3765 0.3791 0.7530 Ge
0.9942 0.2522 0.9884 Ge

=====

[2]
NaHo2F7, relaxed, DFT PBE; crystal system = triclinic; formation energy (no corrections) = -3.813 eV per atom; uncorrected energy = -61.70 eV for the cell shown
1.0
4.1940 -0.3552 -0.0512
-1.2470 -4.0537 0.3486
-0.1866 0.9240 -8.8831
Na Ho F
1 2 7
direct
0.0781 0.1873 0.0084 Na
0.3285 0.7468 0.6771 Ho
0.5947 0.2027 0.3373 Ho
0.2599 0.6568 0.9008 F
0.4093 0.2341 0.6105 F
0.9540 0.4814 0.5109 F
0.8625 0.9228 0.7507 F
0.0619 0.0587 0.2664 F
0.5036 0.7177 0.4071 F
0.6141 0.2970 0.1140 F

=====

[3]
PmNdBeGa, relaxed, DFT PBE; crystal system = cubic; DFT formation energy = -166 meV/atom; uncorrected energy = -16.94 eV for the cell shown
1.0
-4.6113 -0.8863 2.0083
-2.7242 -4.0352 -1.5422
-0.6968 -3.9634 3.1447
Be Nd Ga Pm
1 1 1 1
direct
0.7500 0.7500 0.7500 Be
0.5000 0.5000 0.5000 Nd
0.2500 0.2500 0.2500 Ga
0.0000 0.0000 0.0000 Pm

=====

[4]
Tb2DyYTe6, relaxed, DFT PBE; crystal system = trigonal; formation energy (no corrections) = -1.372 eV per atom; uncorrected energy = -52.89 eV for the cell shown
1.0
-3.9815 -3.7120 5.4629
-4.9842 -5.5489 -1.9604
2.1495 -7.8753 1.6585
Tb Dy Y Te
2 1 1 6
direct
0.5095 0.5095 0.4714 Tb
0.0093 0.0093 0.9720 Tb
0.3234 0.3235 0.0297 Dy
0.8233 0.8233 0.5302 Y
0.6012 0.2285 0.2520 Te
0.2285 0.9183 0.2520 Te
0.9183 0.6012 0.2520 Te
0.4174 0.7286 0.7520 Te
0.7286 0.1021 0.7519 Te
0.1020 0.4174 0.7519 Te

=====

[5]
YGa9Rh2, relaxed, DFT PBE; crystal system = monoclinic; DFT formation energy = -382 meV/atom; uncorrected energy = -105.98 eV for the cell shown
1.0
5.9828 -0.0092 2.7441
2.7165 7.9974 1.9728
-0.3530 0.6599 8.6414
Y Ga Rh
2 18 4
direct
0.4988 0.0003 0.0002 Y
0.2025 0.5010 0.5010 Y
0.7469 0.5009 0.5010 Ga
0.0033 0.9998 0.9998 Ga
0.9744 0.9515 0.6996 Ga
0.6276 0.0473 0.2995 Ga
0.6865 0.2051 0.5170 Ga
0.4098 0.7975 0.4814 Ga
0.7495 0.8248 0.5817 Ga
0.1559 0.1757 0.4182 Ga
0.0995 0.8909 0.3284 Ga
0.3188 0.1097 0.6720 Ga
0.7495 0.5817 0.8246 Ga
0.1560 0.4182 0.1758 Ga
0.0992 0.3284 0.8910 Ga
0.3191 0.6720 0.1095 Ga
0.9744 0.6996 0.9514 Ga
0.6276 0.2995 0.0474 Ga
0.6867 0.5169 0.2052 Ga
0.4096 0.4814 0.7976 Ga
0.8458 0.2634 0.7345 Rh
0.8462 0.7344 0.2634 Rh
0.9579 0.1982 0.1983 Rh
0.3546 0.8018 0.8017 Rh

=====

[6]
Ca2TaHg2, relaxed, DFT PBE; E above lowest polymorph = 185 meV per atom; crystal system = tetragonal; DFT formation energy = 554 meV/atom; uncorrected energy = -13.69 eV for the cell shown
1.0
4.1332 0.0000 0.0000
0.0000 4.1332 0.0000
2.0666 2.0666 8.4998
Ca Hg Ta
2 2 1
direct
0.3997 0.3997 0.2007 Ca
0.6003 0.6003 0.7993 Ca
0.7500 0.2500 0.5000 Hg
0.2500 0.7500 0.5000 Hg
0.0000 0.0000 0.0000 Ta

=====

[7]
PuZrO2, relaxed, DFT PBE; crystal system = trigonal; formation energy (no corrections) = -2.275 eV per atom; uncorrected energy = -41.90 eV for the cell shown
1.0
-2.3618 -1.9258 -1.3076
0.2377 -1.0076 -3.1503
2.2161 -5.7502 0.2612
Pu Zr O
1 1 2
direct
0.4925 0.4925 0.5224 Pu
0.6712 0.6712 0.9863 Zr
0.0739 0.0739 0.7784 O
0.2623 0.2623 0.2130 O

=====

> Look up the uncorrected energy of the third one.

-16.94 eV for the cell shown

=====

> uncorrected energy of number 3 (PmNdBeGa)?

-16.94 eV for the cell shown

=====

Please write out number 1 again, unchanged.
Hf5Ta2Ge4, relaxed, DFT PBE; crystal system = monoclinic; DFT formation energy = -30 meV/atom; uncorrected energy = -92.28 eV for the cell shown
1.0
3.5659 0.0000 0.0000
0.0000 9.3645 -2.2168
-1.7830 -9.4116 9.1102
Hf Ta Ge
5 2 4
direct
0.1643 0.9171 0.3286 Hf
0.8357 0.0829 0.6714 Hf
0.1882 0.5793 0.3764 Hf
0.5000 0.0000 0.0000 Hf
0.8118 0.4207 0.6236 Hf
0.8200 0.7251 0.6400 Ta
0.1800 0.2749 0.3600 Ta
0.6235 0.6209 0.2470 Ge
0.0058 0.7478 0.0116 Ge
0.3765 0.3791 0.7530 Ge
0.9942 0.2522 0.9884 Ge

=====

> What is the formula in the sixth record?

Ca2TaHg2